(1)
Computed, not measured: Hg3TeS at its PBEsol-relaxed geometry at the SCAN level of DFT. Values from VASP.

Quantum ESPRESSO input file:
```
&SYSTEM
  ibrav = 0, nat = 5, ntyp = 3
/
ATOMIC_SPECIES
Hg 200.59 Hg.upf
Te 127.60 Te.upf
S 32.06 S.upf
ATOMIC_POSITIONS angstrom
Hg 0.000 0.000 2.542
Hg 0.000 2.542 0.000
Hg 2.542 0.000 0.000
Te 2.542 2.542 2.542
S 0.000 0.000 0.000
CELL_PARAMETERS angstrom
5.083 0.000 0.000
0.000 5.083 0.000
0.000 0.000 5.083
```

## Properties
Space-group type: No. 221
Energy (eV per atom): -50.032
Energy relative to the elements, uncorrected (meV per atom): 244

=====

(2)
Computed, not measured: HgTeS2 at its PBEsol-relaxed geometry at the SCAN level of DFT. Values from VASP.

Quantum ESPRESSO input file:
```
&SYSTEM
  ibrav = 0, nat = 16, ntyp = 3
/
ATOMIC_SPECIES
Hg 200.59 Hg.upf
Te 127.60 Te.upf
S 32.06 S.upf
ATOMIC_POSITIONS angstrom
Hg 0.000 0.000 0.000
Hg 0.000 2.592 3.840
Hg 2.592 0.000 11.520
Hg 2.592 2.592 7.680
Te 0.000 0.000 7.680
Te 0.000 2.592 11.520
Te 2.592 0.000 3.840
Te 2.592 2.592 0.000
S 1.270 1.296 9.600
S 1.296 3.863 13.440
S 1.296 3.914 5.760
S 1.322 1.296 1.920
S 3.863 3.888 1.920
S 3.888 1.270 5.760
S 3.888 1.322 13.440
S 3.914 3.888 9.600
CELL_PARAMETERS angstrom
5.185 0.000 0.000
0.000 5.185 0.000
0.000 0.000 15.360
```

## Properties
Space-group type: No. 122
Energy (eV per atom): -30.915
Energy relative to the elements, uncorrected (meV per atom): 253

=====

(3)
Computed, not measured: HgTeS2 at its PBEsol-relaxed geometry at the SCAN level of DFT. Values from VASP.

Quantum ESPRESSO input file:
```
&SYSTEM
  ibrav = 0, nat = 12, ntyp = 3
/
ATOMIC_SPECIES
Hg 200.59 Hg.upf
Te 127.60 Te.upf
S 32.06 S.upf
ATOMIC_POSITIONS angstrom
Hg 0.000 0.000 0.000
Hg 0.000 2.143 19.125
Hg 1.856 1.072 9.563
Te 0.000 0.000 14.344
Te 0.000 2.143 4.781
Te 1.856 1.072 23.906
S 0.000 0.000 3.195
S 0.000 0.000 25.493
S 0.000 2.143 15.931
S 0.000 2.143 22.320
S 1.856 1.072 6.368
S 1.856 1.072 12.757
CELL_PARAMETERS angstrom
3.712 0.000 0.000
-1.856 3.215 0.000
0.000 0.000 28.688
```

## Properties
Space-group type: No. 166
Energy (eV per atom): -31.079
Energy relative to the elements, uncorrected (meV per atom): 89

=====

(4)
Computed, not measured: HgTeS2 at its PBEsol-relaxed geometry at the SCAN level of DFT. Values from VASP.

Quantum ESPRESSO input file:
```
&SYSTEM
  ibrav = 0, nat = 12, ntyp = 3
/
ATOMIC_SPECIES
Hg 200.59 Hg.upf
Te 127.60 Te.upf
S 32.06 S.upf
ATOMIC_POSITIONS angstrom
Hg 0.000 0.000 0.000
Hg 0.000 2.200 15.957
Hg 1.905 1.100 7.979
Te 0.000 0.000 11.968
Te 0.000 2.200 3.989
Te 1.905 1.100 19.946
S 0.000 0.000 9.458
S 0.000 0.000 14.477
S 0.000 2.200 1.480
S 0.000 2.200 6.499
S 1.905 1.100 17.437
S 1.905 1.100 22.456
CELL_PARAMETERS angstrom
3.811 0.000 0.000
-1.905 3.300 0.000
0.000 0.000 23.936
```

## Properties
Space-group type: No. 166
Energy (eV per atom): -31.018
Energy relative to the elements, uncorrected (meV per atom): 150

=====

(5)
Computed, not measured: TiHg3S at its PBEsol-relaxed geometry at the SCAN level of DFT. Values from VASP.

Quantum ESPRESSO input file:
```
&SYSTEM
  ibrav = 0, nat = 5, ntyp = 3
/
ATOMIC_SPECIES
Ti 47.87 Ti.upf
Hg 200.59 Hg.upf
S 32.06 S.upf
ATOMIC_POSITIONS angstrom
Ti 0.000 0.000 0.000
Hg 0.000 2.515 2.515
Hg 2.515 0.000 2.515
Hg 2.515 2.515 0.000
S 2.515 2.515 2.515
CELL_PARAMETERS angstrom
5.029 0.000 0.000
0.000 5.029 0.000
0.000 0.000 5.029
```

## Properties
Space-group type: No. 221
Energy (eV per atom): -45.268
Energy relative to the elements, uncorrected (meV per atom): 763

=====

(6)
Computed, not measured: Tl2Hg3S4 at its PBEsol-relaxed geometry at the SCAN level of DFT. Values from VASP.

Quantum ESPRESSO input file:
```
&SYSTEM
  ibrav = 0, nat = 18, ntyp = 3
/
ATOMIC_SPECIES
Tl 204.38 Tl.upf
Hg 200.59 Hg.upf
S 32.06 S.upf
ATOMIC_POSITIONS angstrom
Tl 1.718 0.534 0.576
Tl -1.024 -0.534 6.372
Tl 6.970 0.534 5.219
Tl 4.228 -0.534 11.014
Hg 1.602 2.500 8.693
Hg 3.109 0.772 4.048
Hg 5.579 0.772 1.747
Hg 0.367 -0.772 9.844
Hg 2.837 -0.772 7.543
Hg 4.344 -2.500 2.898
S -2.067 0.721 8.786
S 1.541 0.987 6.618
S 0.674 -0.721 2.991
S 1.663 0.987 10.768
S 4.283 -0.987 0.823
S 5.272 0.721 8.600
S 4.405 -0.987 4.973
S 8.014 -0.721 2.804
CELL_PARAMETERS angstrom
5.715 -3.349 0.000
5.715 3.349 0.000
-5.483 0.000 11.591
```

## Properties
Space-group type: No. 15
Energy (eV per atom): -43.331
Energy relative to the elements, uncorrected (meV per atom): -250

=====

(7)
Computed, not measured: TlHgS2 at its PBEsol-relaxed geometry at the SCAN level of DFT. Values from VASP.

Quantum ESPRESSO input file:
```
&SYSTEM
  ibrav = 0, nat = 16, ntyp = 3
/
ATOMIC_SPECIES
Tl 204.38 Tl.upf
Hg 200.59 Hg.upf
S 32.06 S.upf
ATOMIC_POSITIONS angstrom
Tl 0.000 0.000 0.000
Tl 0.000 3.036 3.050
Tl 3.036 0.000 9.149
Tl 3.036 3.036 6.099
Hg 0.000 0.000 6.099
Hg 0.000 3.036 9.149
Hg 3.036 0.000 3.050
Hg 3.036 3.036 0.000
S 1.391 1.518 7.624
S 1.518 4.427 10.674
S 1.518 4.681 4.575
S 1.645 1.518 1.525
S 4.427 4.554 1.525
S 4.554 1.391 4.575
S 4.554 1.645 10.674
S 4.681 4.554 7.624
CELL_PARAMETERS angstrom
6.072 0.000 0.000
0.000 6.072 0.000
0.000 0.000 12.199
```

## Properties
Space-group type: No. 122
Energy (eV per atom): -40.033
Energy relative to the elements, uncorrected (meV per atom): -88

=====

(8)
Computed, not measured: Zn3HgS at its PBEsol-relaxed geometry at the SCAN level of DFT. Values from VASP.

Quantum ESPRESSO input file:
```
&SYSTEM
  ibrav = 0, nat = 5, ntyp = 3
/
ATOMIC_SPECIES
Zn 65.41 Zn.upf
Hg 200.59 Hg.upf
S 32.06 S.upf
ATOMIC_POSITIONS angstrom
Zn 0.000 0.000 2.330
Zn 0.000 2.330 0.000
Zn 2.330 0.000 0.000
Hg 2.330 2.330 2.330
S 0.000 0.000 0.000
CELL_PARAMETERS angstrom
4.661 0.000 0.000
0.000 4.661 0.000
0.000 0.000 4.661
```

## Properties
Space-group type: No. 221
Energy (eV per atom): -23.284
Energy relative to the elements, uncorrected (meV per atom): 384

=====

(9)
Computed, not measured: Zr2HgS at its PBEsol-relaxed geometry at the SCAN level of DFT. Values from VASP.

Quantum ESPRESSO input file:
```
&SYSTEM
  ibrav = 0, nat = 16, ntyp = 3
/
ATOMIC_SPECIES
Zr 91.22 Zr.upf
Hg 200.59 Hg.upf
S 32.06 S.upf
ATOMIC_POSITIONS angstrom
Zr 1.672 1.672 1.672
Zr 1.672 1.672 5.017
Zr 1.672 5.017 1.672
Zr 1.672 5.017 5.017
Zr 5.017 1.672 1.672
Zr 5.017 1.672 5.017
Zr 5.017 5.017 1.672
Zr 5.017 5.017 5.017
Hg 0.000 0.000 0.000
Hg 0.000 3.345 3.345
Hg 3.345 0.000 3.345
Hg 3.345 3.345 0.000
S 0.000 0.000 3.345
S 0.000 3.345 0.000
S 3.345 0.000 0.000
S 3.345 3.345 3.345
CELL_PARAMETERS angstrom
6.690 0.000 0.000
0.000 6.690 0.000
0.000 0.000 6.690
```

## Properties
Space-group type: No. 225
Energy (eV per atom): -35.342
Energy relative to the elements, uncorrected (meV per atom): -544

=====

(10)
Computed, not measured: HgSb3 at its PBEsol-relaxed geometry at the SCAN level of DFT. Values from VASP.

Quantum ESPRESSO input file:
```
&SYSTEM
  ibrav = 0, nat = 8, ntyp = 2
/
ATOMIC_SPECIES
Hg 200.59 Hg.upf
Sb 121.76 Sb.upf
ATOMIC_POSITIONS angstrom
Hg 0.000 0.000 0.000
Hg 3.122 5.242 0.000
Sb 0.000 5.242 0.000
Sb 1.561 2.621 1.578
Sb 1.561 7.863 1.578
Sb 3.122 0.000 0.000
Sb 4.683 2.621 1.578
Sb 4.683 7.863 1.578
CELL_PARAMETERS angstrom
6.244 0.000 0.000
0.000 10.484 0.000
0.000 0.000 3.155
```

## Properties
Space-group type: No. 65
Energy (eV per atom): -44.702
Energy relative to the elements, uncorrected (meV per atom): 285

=====

(11)
Computed, not measured: HgSb2 at its PBEsol-relaxed geometry at the SCAN level of DFT. Values from VASP.

Quantum ESPRESSO input file:
```
&SYSTEM
  ibrav = 0, nat = 6, ntyp = 2
/
ATOMIC_SPECIES
Hg 200.59 Hg.upf
Sb 121.76 Sb.upf
ATOMIC_POSITIONS angstrom
Hg 1.094 1.094 1.094
Hg 7.659 7.659 7.659
Sb 4.376 2.188 2.188
Sb 2.188 4.376 2.188
Sb 2.188 2.188 4.376
Sb 4.376 4.376 4.376
CELL_PARAMETERS angstrom
0.000 4.376 4.376
4.376 0.000 4.376
4.376 4.376 0.000
```

## Properties
Space-group type: No. 227
Energy (eV per atom): -47.318
Energy relative to the elements, uncorrected (meV per atom): 245

=====

(12)
Computed, not measured: HgSb5 at its PBEsol-relaxed geometry at the SCAN level of DFT. Values from VASP.

Quantum ESPRESSO input file:
```
&SYSTEM
  ibrav = 0, nat = 12, ntyp = 2
/
ATOMIC_SPECIES
Hg 200.59 Hg.upf
Sb 121.76 Sb.upf
ATOMIC_POSITIONS angstrom
Hg 0.000 0.000 0.000
Hg 2.141 6.511 0.000
Sb 0.000 0.000 3.018
Sb 0.000 4.288 0.000
Sb 0.000 4.338 3.018
Sb 0.000 8.685 3.018
Sb 0.000 8.735 0.000
Sb 2.141 2.173 3.018
Sb 2.141 2.224 0.000
Sb 2.141 6.511 3.018
Sb 2.141 10.799 0.000
Sb 2.141 10.849 3.018
CELL_PARAMETERS angstrom
4.281 0.000 0.000
0.000 13.022 0.000
0.000 0.000 6.036
```

## Properties
Space-group type: No. 65
Energy (eV per atom): -42.387
Energy relative to the elements, uncorrected (meV per atom): 25

=====

(13)
Computed, not measured: HgSb3 at its PBEsol-relaxed geometry at the SCAN level of DFT. Values from VASP.

Quantum ESPRESSO input file:
```
&SYSTEM
  ibrav = 0, nat = 4, ntyp = 2
/
ATOMIC_SPECIES
Hg 200.59 Hg.upf
Sb 121.76 Sb.upf
ATOMIC_POSITIONS angstrom
Hg 0.000 0.000 0.000
Sb 0.000 3.001 0.012
Sb 1.612 0.000 2.729
Sb 1.612 3.001 2.740
CELL_PARAMETERS angstrom
3.223 0.000 0.000
0.000 6.001 0.000
0.000 0.000 5.456
```

## Properties
Space-group type: No. 25
Energy (eV per atom): -44.874
Energy relative to the elements, uncorrected (meV per atom): 113

=====

(14)
Computed, not measured: HgSb2 at its PBEsol-relaxed geometry at the SCAN level of DFT. Values from VASP.

Quantum ESPRESSO input file:
```
&SYSTEM
  ibrav = 0, nat = 3, ntyp = 2
/
ATOMIC_SPECIES
Hg 200.59 Hg.upf
Sb 121.76 Sb.upf
ATOMIC_POSITIONS angstrom
Hg 0.000 0.000 0.000
Sb 0.000 2.430 1.874
Sb 2.104 1.215 3.553
CELL_PARAMETERS angstrom
4.209 0.000 0.000
-2.104 3.645 0.000
0.000 0.000 5.427
```

## Properties
Space-group type: No. 164
Energy (eV per atom): -47.543
Energy relative to the elements, uncorrected (meV per atom): 19

=====

(15)
Computed, not measured: HgSb2 at its PBEsol-relaxed geometry at the SCAN level of DFT. Values from VASP.

Quantum ESPRESSO input file:
```
&SYSTEM
  ibrav = 0, nat = 6, ntyp = 2
/
ATOMIC_SPECIES
Hg 200.59 Hg.upf
Sb 121.76 Sb.upf
ATOMIC_POSITIONS angstrom
Hg 0.000 0.000 0.000
Hg 2.485 4.022 2.193
Sb 1.003 3.013 0.000
Sb 1.482 7.036 2.193
Sb 3.489 1.009 2.193
Sb 3.967 5.031 0.000
CELL_PARAMETERS angstrom
4.970 0.000 0.000
0.000 8.045 0.000
0.000 0.000 4.386
```

## Properties
Space-group type: No. 58
Energy (eV per atom): -47.418
Energy relative to the elements, uncorrected (meV per atom): 144

=====

(16)
Computed, not measured: Sc2HgSb at its PBEsol-relaxed geometry at the SCAN level of DFT. Values from VASP.

Quantum ESPRESSO input file:
```
&SYSTEM
  ibrav = 0, nat = 8, ntyp = 3
/
ATOMIC_SPECIES
Sc 44.96 Sc.upf
Hg 200.59 Hg.upf
Sb 121.76 Sb.upf
ATOMIC_POSITIONS angstrom
Sc 0.000 2.282 2.054
Sc 0.000 2.282 6.161
Sc 2.282 0.000 2.054
Sc 2.282 0.000 6.161
Hg 0.000 0.000 0.000
Hg 2.282 2.282 4.107
Sb 0.000 0.000 4.107
Sb 2.282 2.282 0.000
CELL_PARAMETERS angstrom
4.563 0.000 0.000
0.000 4.563 0.000
0.000 0.000 8.215
```

## Properties
Space-group type: No. 139
Energy (eV per atom): -34.162
Energy relative to the elements, uncorrected (meV per atom): -687

=====

(17)
Computed, not measured: ScHg2Sb at its PBEsol-relaxed geometry at the SCAN level of DFT. Values from VASP.

Quantum ESPRESSO input file:
```
&SYSTEM
  ibrav = 0, nat = 8, ntyp = 3
/
ATOMIC_SPECIES
Sc 44.96 Sc.upf
Hg 200.59 Hg.upf
Sb 121.76 Sb.upf
ATOMIC_POSITIONS angstrom
Sc 0.000 0.000 0.000
Sc 2.130 2.179 4.757
Hg 0.000 0.000 4.793
Hg 0.000 2.179 2.444
Hg 2.130 0.000 7.201
Hg 2.130 2.179 0.036
Sb 0.000 2.179 7.105
Sb 2.130 0.000 2.349
CELL_PARAMETERS angstrom
4.261 0.000 0.000
0.000 4.358 0.000
0.000 0.000 9.513
```

## Properties
Space-group type: No. 44
Energy (eV per atom): -47.272
Energy relative to the elements, uncorrected (meV per atom): -314

=====

(18)
Computed, not measured: ScHgSb2 at its PBEsol-relaxed geometry at the SCAN level of DFT. Values from VASP.

Quantum ESPRESSO input file:
```
&SYSTEM
  ibrav = 0, nat = 4, ntyp = 3
/
ATOMIC_SPECIES
Sc 44.96 Sc.upf
Hg 200.59 Hg.upf
Sb 121.76 Sb.upf
ATOMIC_POSITIONS angstrom
Sc 0.000 0.000 0.000
Hg 2.649 2.649 0.000
Sb 0.000 2.649 1.650
Sb 2.649 0.000 1.650
CELL_PARAMETERS angstrom
5.298 0.000 0.000
0.000 5.298 0.000
0.000 0.000 3.299
```

## Properties
Space-group type: No. 123
Energy (eV per atom): -39.489
Energy relative to the elements, uncorrected (meV per atom): -258

=====

(19)
Computed, not measured: ScHg2Sb at its PBEsol-relaxed geometry at the SCAN level of DFT. Values from VASP.

Quantum ESPRESSO input file:
```
&SYSTEM
  ibrav = 0, nat = 4, ntyp = 3
/
ATOMIC_SPECIES
Sc 44.96 Sc.upf
Hg 200.59 Hg.upf
Sb 121.76 Sb.upf
ATOMIC_POSITIONS angstrom
Sc 0.000 0.000 0.000
Hg 0.000 0.000 3.088
Hg 1.924 1.924 1.773
Sb 1.924 1.924 4.991
CELL_PARAMETERS angstrom
3.849 0.000 0.000
0.000 3.849 0.000
0.000 0.000 6.170
```

## Properties
Space-group type: No. 99
Energy (eV per atom): -47.287
Energy relative to the elements, uncorrected (meV per atom): -330

=====

(20)
Computed, not measured: HgSbSe at its PBEsol-relaxed geometry at the SCAN level of DFT. Values from VASP.

Quantum ESPRESSO input file:
```
&SYSTEM
  ibrav = 0, nat = 3, ntyp = 3
/
ATOMIC_SPECIES
Hg 200.59 Hg.upf
Sb 121.76 Sb.upf
Se 78.96 Se.upf
ATOMIC_POSITIONS angstrom
Hg 0.000 0.000 0.000
Sb 0.000 2.296 3.559
Se 1.988 1.148 1.786
CELL_PARAMETERS angstrom
3.977 0.000 0.000
-1.988 3.444 0.000
0.000 0.000 5.441
```

## Properties
Space-group type: No. 156
Energy (eV per atom): -41.817
Energy relative to the elements, uncorrected (meV per atom): 18